# 1
The following is a GGA-PBEsol calculation of a relaxed structure of SrTe2Ir, from the Alexandria database.

Unit cell a=4.0790 b=5.3072 c=5.3072 alpha=107.02 beta=90.00 gamma=90.00
Positions (direct):
Te  0.0000  0.6898  0.3102
Ir  0.5000  0.5000  0.5000
Sr  0.5000  0.0000  0.0000
Te  0.0000  0.3102  0.6898

Output
- Raw formation energy: -221 kJ/mol of formula units
- Energy above the lowest structure with this stoichiometry: 48 meV/atom
- Spin magnetization: 0.000 μB per cell



# 2
The following is a GGA-PBEsol calculation of a relaxed structure of SrTe2Ir, from the Alexandria database.

Unit cell a=3.9125 b=5.7590 c=5.9740 alpha=118.82 beta=109.11 gamma=90.00
Positions (direct):
Sr  0.0000  0.5000  0.0000
Te  0.1775  0.1775  0.3549
Ir  0.5000  0.0000  0.0000
Te  0.8225  0.8225  0.6451

Output
- Raw formation energy: -220 kJ/mol of formula units
- Energy above the lowest structure with this stoichiometry: 51 meV/atom
- Spin magnetization: 0.000 μB per cell



# 3
The following is a GGA-PBEsol calculation of a relaxed structure of SrZn2TeIr, from the Alexandria database.

Unit cell a=4.7623 b=4.7623 c=5.4188 alpha=90.00 beta=90.00 gamma=90.00
Positions (direct):
Te  0.0000  0.0000  0.5000
Zn  0.5000  0.0000  0.0000
Zn  0.0000  0.5000  0.0000
Sr  0.5000  0.5000  0.5000
Ir  0.0000  0.0000  0.0000

Output
- Raw formation energy: -139 kJ/mol of formula units
- Spin magnetization: 0.000 μB per cell



# 4
The following is a GGA-PBEsol calculation of a relaxed structure of Sr2TlIr, from the Alexandria database.

Unit cell a=3.6129 b=3.6129 c=8.2296 alpha=90.00 beta=90.00 gamma=90.00
Positions (direct):
Sr  0.0000  0.0000  0.2903
Ir  0.5000  0.5000  0.5000
Tl  0.5000  0.5000  0.0000
Sr  0.0000  0.0000  0.7097

Output
- ΔH_f (0 K): -0.101 eV per atom
- Spin magnetization: 0.000 μB per cell



# 5
The following is a GGA-PBEsol calculation of a relaxed structure of SrIrW2, from the Alexandria database.

Unit cell a=2.9178 b=3.0998 c=8.4417 alpha=90.00 beta=94.30 gamma=90.00
Positions (direct):
W  0.0368  0.0000  0.0549
W  0.4329  0.5000  0.2635
Ir  0.9925  0.0000  0.4526
Sr  0.5378  0.5000  0.7290

Output
- ΔH_f (0 K): 0.501 eV per atom
- Energy above the lowest structure with this stoichiometry: 0 meV/atom
- Spin magnetization: 0.000 μB per cell



# 6
The following is a GGA-PBEsol calculation of a relaxed structure of SrIrW2, from the Alexandria database.

Unit cell a=2.7978 b=3.8288 c=7.4993 alpha=90.00 beta=90.00 gamma=90.00
Positions (direct):
W  0.0000  0.0000  0.1691
Ir  0.5000  0.5000  0.0000
Sr  0.5000  0.5000  0.5000
W  0.0000  0.0000  0.8309

Output
- ΔH_f (0 K): 0.712 eV per atom
- Energy above the lowest structure with this stoichiometry: 211 meV/atom
- Spin magnetization: 0.000 μB per cell



# 7
The following is a GGA-PBEsol calculation of a relaxed structure of Sr2Ir2W, from the Alexandria database.

Unit cell a=3.8429 b=3.8429 c=7.4513 alpha=104.94 beta=104.94 gamma=90.00
Last column: magnetic moment on the atom in μB.
Positions (direct):
W  0.0000  0.0000  0.0000  0.32
Ir  0.4129  0.4129  0.8258  0.02
Sr  0.7500  0.2500  0.5000  0.00
Sr  0.2500  0.7500  0.5000  0.00
Ir  0.5871  0.5871  0.1742  0.02

Output
- ΔH_f (0 K): 1.434 eV per atom
- Spin magnetization: 0.461 μB per cell



# 8
The following is a GGA-PBEsol calculation of a relaxed structure of SrIrW2, from the Alexandria database.

Unit cell a=2.7688 b=4.9721 c=6.1956 alpha=113.66 beta=102.91 gamma=90.00
Positions (direct):
Ir  0.0000  0.5000  0.0000
W  0.7078  0.7078  0.4155
W  0.2922  0.2922  0.5845
Sr  0.5000  0.0000  0.0000

Output
- ΔH_f (0 K): 0.596 eV per atom
- Energy above the lowest structure with this stoichiometry: 95 meV/atom
- Spin magnetization: 0.000 μB per cell



# 9
The following is a GGA-PBEsol calculation of a relaxed structure of SrYIr4, from the Alexandria database.

Unit cell a=5.3464 b=5.3464 c=5.3464 alpha=60.00 beta=60.00 gamma=60.00
Positions (direct):
Ir  0.3749  0.3749  0.8754
Ir  0.3749  0.3749  0.3749
Y  0.0000  0.0000  0.0000
Ir  0.3749  0.8754  0.3749
Ir  0.8754  0.3749  0.3749
Sr  0.7500  0.7500  0.7500

Output
- ΔH_f (0 K): -0.498 eV per atom
- Spin magnetization: 0.001 μB per cell



# 10
The following is a GGA-PBEsol calculation of a relaxed structure of SrYZnIr2, from the Alexandria database.

Unit cell a=4.7408 b=4.7408 c=4.8264 alpha=90.00 beta=90.00 gamma=90.00
Positions (direct):
Ir  0.0000  0.5000  0.0000
Ir  0.5000  0.0000  0.0000
Y  0.5000  0.5000  0.5000
Zn  0.0000  0.0000  0.0000
Sr  0.0000  0.0000  0.5000

Output
- ΔH_f (0 K): 0.483 eV per atom
- Energy above the lowest structure with this stoichiometry: 47 meV/atom
- Spin magnetization: 0.000 μB per cell



# 11
The following is a GGA-PBEsol calculation of a relaxed structure of SrYZnIr2, from the Alexandria database.

Unit cell a=4.7555 b=4.7555 c=4.8539 alpha=90.00 beta=90.00 gamma=90.00
Positions (direct):
Zn  0.0000  0.0000  0.0000
Ir  0.5000  0.0000  0.0000
Ir  0.0000  0.5000  0.0000
Sr  0.5000  0.5000  0.5000
Y  0.0000  0.0000  0.5000

Output
- ΔH_f (0 K): 0.436 eV per atom
- Energy above the lowest structure with this stoichiometry: 0 meV/atom
- Spin magnetization: 0.000 μB per cell



# 12
The following is a GGA-PBEsol calculation of a relaxed structure of SrZn3Ir, from the Alexandria database.

Unit cell a=5.0271 b=6.3389 c=6.3389 alpha=90.00 beta=90.00 gamma=90.00
Positions (direct):
Ir  0.1974  0.5000  0.0000
Zn  0.3155  0.0000  0.5000
Zn  0.0000  0.2500  0.2500
Zn  0.0000  0.2500  0.7500
Zn  0.6845  0.5000  0.0000
Sr  0.5000  0.0000  0.0000
Zn  0.0000  0.7500  0.7500
Zn  0.0000  0.7500  0.2500
Sr  0.5000  0.5000  0.5000
Ir  0.8026  0.0000  0.5000

Output
- ΔH_f (0 K): -0.288 eV per atom
- Energy above the lowest structure with this stoichiometry: 0 meV/atom
- Spin magnetization: 0.000 μB per cell



# 13
The following is a GGA-PBEsol calculation of a relaxed structure of SrZnIr2, from the Alexandria database.

Unit cell a=4.2377 b=4.2377 c=4.9061 alpha=115.59 beta=115.59 gamma=90.00
Positions (direct):
Zn  0.2500  0.7500  0.5000
Ir  0.7500  0.2500  0.5000
Sr  0.5000  0.5000  0.0000
Ir  0.0000  0.0000  0.0000

Output
- ΔH_f (0 K): 0.433 eV per atom
- Spin magnetization: 0.001 μB per cell



# 14
The following is a GGA-PBEsol calculation of a relaxed structure of SrZnIr2, from the Alexandria database.

Unit cell a=4.1277 b=4.1277 c=5.0198 alpha=114.28 beta=114.28 gamma=90.00
Positions (direct):
Sr  0.5000  0.5000  0.0000
Zn  0.0000  0.0000  0.0000
Ir  0.7500  0.2500  0.5000
Ir  0.2500  0.7500  0.5000

Output
- ΔH_f (0 K): 0.392 eV per atom
- Spin magnetization: 0.000 μB per cell



# 15
The following is a GGA-PBEsol calculation of a relaxed structure of SrZnIr2, from the Alexandria database.

Unit cell a=2.9328 b=4.9574 c=5.5152 alpha=116.71 beta=105.42 gamma=90.00
Positions (direct):
Ir  0.7771  0.7771  0.5542
Zn  0.5000  0.0000  0.0000
Sr  0.0000  0.5000  0.0000
Ir  0.2229  0.2229  0.4458

Output
- ΔH_f (0 K): 0.269 eV per atom
- Spin magnetization: 0.000 μB per cell



# 16
The following is a GGA-PBEsol calculation of a relaxed structure of Sr2ZnIr, from the Alexandria database.

Unit cell a=4.3506 b=4.4591 c=5.9654 alpha=111.95 beta=90.00 gamma=90.00
Positions (direct):
Zn  0.0000  0.8039  0.6078
Sr  0.5000  0.3918  0.7835
Ir  0.5000  0.6952  0.3905
Sr  0.0000  0.1087  0.2174

Output
- ΔH_f (0 K): -0.209 eV per atom
- Spin magnetization: 0.000 μB per cell



# 17
The following is a GGA-PBEsol calculation of a relaxed structure of SrZn3Ir, from the Alexandria database.

Unit cell a=4.7834 b=4.7834 c=4.7834 alpha=90.00 beta=90.00 gamma=90.00
Positions (direct):
Ir  0.0000  0.0000  0.0000
Sr  0.5000  0.5000  0.5000
Zn  0.5000  0.0000  0.0000
Zn  0.0000  0.5000  0.0000
Zn  0.0000  0.0000  0.5000

Output
- ΔH_f (0 K): -0.227 eV per atom
- Energy above the lowest structure with this stoichiometry: 61 meV/atom
- Spin magnetization: 0.000 μB per cell



# 18
The following is a GGA-PBEsol calculation of a relaxed structure of SrZrIr2, from the Alexandria database.

Unit cell a=3.1218 b=4.2345 c=6.4372 alpha=90.00 beta=90.00 gamma=90.00
Positions (direct):
Zr  0.5000  0.5000  0.8548
Ir  0.5000  0.5000  0.2307
Sr  0.0000  0.0000  0.4534
Ir  0.0000  0.0000  0.9612

Output
- ΔH_f (0 K): 0.064 eV per atom
- Energy above the lowest structure with this stoichiometry: 538 meV/atom
- Spin magnetization: 0.000 μB per cell



# 19
The following is a GGA-PBEsol calculation of a relaxed structure of SrZr2Ir, from the Alexandria database.

Unit cell a=3.2516 b=5.3741 c=6.2224 alpha=115.58 beta=105.15 gamma=90.00
Positions (direct):
Zr  0.1989  0.1989  0.3978
Zr  0.8011  0.8011  0.6022
Sr  0.0000  0.5000  0.0000
Ir  0.5000  0.0000  0.0000

Output
- ΔH_f (0 K): -0.092 eV per atom
- Spin magnetization: 0.000 μB per cell



# 20
The following is a GGA-PBEsol calculation of a relaxed structure of SrZrIr2, from the Alexandria database.

Unit cell a=3.2422 b=3.2422 c=7.4693 alpha=90.00 beta=90.00 gamma=90.00
Positions (direct):
Ir  0.0000  0.0000  0.7049
Ir  0.0000  0.0000  0.2951
Zr  0.5000  0.5000  0.5000
Sr  0.5000  0.5000  0.0000

Output
- ΔH_f (0 K): -0.474 eV per atom
- Energy above the lowest structure with this stoichiometry: 0 meV/atom
- Spin magnetization: 0.000 μB per cell



# 21
The following is a GGA-PBEsol calculation of a relaxed structure of Ta4Ir3, from the Alexandria database.

Unit cell a=4.9128 b=5.1695 c=5.1695 alpha=120.00 beta=90.00 gamma=90.00
Positions (direct):
Ir  0.0000  0.5000  0.0000
Ta  0.2513  0.0000  0.0000
Ta  0.5000  0.6667  0.3333
Ta  0.7487  0.0000  0.0000
Ir  0.0000  0.0000  0.5000
Ir  0.0000  0.5000  0.5000
Ta  0.5000  0.3333  0.6667

Output
- ΔH_f (0 K): -0.480 eV per atom
- Spin magnetization: 0.000 μB per cell



# 22
The following is a GGA-PBEsol calculation of a relaxed structure of TaIr, from the Alexandria database.

Unit cell a=2.8743 b=5.2660 c=6.8365 alpha=107.24 beta=90.00 gamma=105.84
Positions (direct):
Ta  0.7034  0.4067  0.9565
Ir  0.6708  0.3417  0.3356
Ir  0.9870  0.9740  0.0074
Ta  0.3515  0.7031  0.6679
Ir  0.3870  0.7740  0.2725
Ta  0.0669  0.1339  0.5935

Output
- ΔH_f (0 K): -0.321 eV per atom
- Spin magnetization: 0.000 μB per cell



# 23
The following is a GGA-PBEsol calculation of a relaxed structure of TaIr5, from the Alexandria database.

Unit cell a=4.3941 b=4.7852 c=4.7852 alpha=120.00 beta=90.00 gamma=90.00
Positions (direct):
Ir  0.5000  0.3333  0.6667
Ir  0.5000  0.6667  0.3333
Ir  0.0000  0.3445  0.3445
Ir  0.0000  0.0000  0.6555
Ta  0.5000  0.0000  0.0000
Ir  0.0000  0.6555  0.0000

Output
- ΔH_f (0 K): -0.364 eV per atom
- Spin magnetization: 0.000 μB per cell



# 24
The following is a GGA-PBEsol calculation of a relaxed structure of TaIr, from the Alexandria database.

Unit cell a=3.8905 b=3.8905 c=4.9735 alpha=113.02 beta=113.02 gamma=90.00
Positions (direct):
Ir  0.2500  0.7500  0.5000
Ir  0.0000  0.0000  0.0000
Ta  0.5000  0.5000  0.0000
Ta  0.7500  0.2500  0.5000

Output
- ΔH_f (0 K): -0.518 eV per atom
- Spin magnetization: 0.000 μB per cell



# 25
The following is a GGA-PBEsol calculation of a relaxed structure of Ta2Ir3, from the Alexandria database.

Unit cell a=4.9509 b=5.3191 c=7.0928 alpha=99.35 beta=110.43 gamma=62.27
Positions (direct):
Ta  0.5367  0.5767  0.8952
Ta  0.2182  0.4233  0.1048
Ir  0.7971  0.3919  0.2999
Ir  0.8891  0.6081  0.7001
Ir  0.4390  0.1081  0.7999
Ir  0.7472  0.8919  0.2001
Ta  0.3634  0.9233  0.3952
Ir  0.3089  0.5000  0.5000
Ir  0.0589  0.0000  0.0000
Ta  0.8915  0.0767  0.6048

Output
- ΔH_f (0 K): -0.533 eV per atom
- Energy above the lowest structure with this stoichiometry: 0 meV/atom
- Spin magnetization: 0.000 μB per cell



# 26
The following is a GGA-PBEsol calculation of a relaxed structure of TaIr, from the Alexandria database.

Unit cell a=5.3240 b=7.5841 c=9.5557 alpha=90.00 beta=90.00 gamma=90.00
Positions (direct):
Ir  0.0000  0.7500  0.9163
Ir  0.7500  0.5867  0.1318
Ir  0.2500  0.9133  0.1318
Ir  0.5000  0.2500  0.0837
Ir  0.7500  0.5428  0.5555
Ir  0.2500  0.4572  0.4445
Ta  0.7500  0.8519  0.6734
Ir  0.0000  0.2500  0.0837
Ta  0.0000  0.7500  0.3653
Ta  0.2500  0.5491  0.1329
Ta  0.2500  0.1481  0.3266
Ta  0.7500  0.4509  0.8671
Ta  0.2500  0.6481  0.6734
Ta  0.5000  0.7500  0.3653
Ir  0.7500  0.0867  0.8682
Ir  0.7500  0.0428  0.4445
Ta  0.5000  0.2500  0.6347
Ta  0.0000  0.2500  0.6347
Ir  0.2500  0.4133  0.8682
Ir  0.5000  0.7500  0.9163
Ir  0.2500  0.9572  0.5555
Ta  0.2500  0.0491  0.8671
Ta  0.7500  0.3519  0.3266
Ta  0.7500  0.9509  0.1329

Output
- ΔH_f (0 K): -0.503 eV per atom
- Spin magnetization: 0.000 μB per cell